DFT (PBE) results for ScMnCuIr after structural relaxation.

Unit cell a=4.438 b=4.438 c=4.438 alpha=60.00 beta=60.00 gamma=60.00
Site moments in Bohr magnetons follow the coordinates.
Element x y z (fractional)
Ir  0.250  0.250  0.250  0.26
Mn  0.500  0.500  0.500  3.66
Cu  0.750  0.750  0.750  0.03
Sc  0.000  0.000  0.000  -0.06

- Symmetry: No. 216



DFT (PBE) results for TaMnCuIr after structural relaxation.

Unit cell a=4.330 b=4.330 c=4.330 alpha=60.00 beta=60.00 gamma=60.00
Site moments in Bohr magnetons follow the coordinates.
Element x y z (fractional)
Mn  0.000  0.000  0.000  2.49
Ir  0.500  0.500  0.500  0.07
Cu  0.250  0.250  0.250  0.09
Ta  0.750  0.750  0.750  -0.33

- Symmetry: No. 216



DFT (PBE) results for MnTl2CuIr after structural relaxation.

Unit cell a=4.906 b=4.807 c=4.906 alpha=90.00 beta=90.00 gamma=90.00
Site moments in Bohr magnetons follow the coordinates.
Element x y z (fractional)
Tl  0.000  0.000  0.500  -0.01
Tl  0.500  0.000  0.000  0.00
Cu  0.000  0.000  0.000  0.00
Mn  0.500  0.500  0.500  4.31
Ir  0.000  0.500  0.000  0.26

- Symmetry: No. 123



DFT (PBE) results for MnVCuIr after structural relaxation.

Unit cell a=4.204 b=4.204 c=4.204 alpha=60.00 beta=60.00 gamma=60.00
Site moments in Bohr magnetons follow the coordinates.
Element x y z (fractional)
Cu  0.750  0.750  0.750  0.10
Mn  0.000  0.000  0.000  2.71
Ir  0.500  0.500  0.500  0.12
V  0.250  0.250  0.250  -0.89

- Symmetry: No. 216



DFT (PBE) results for YMnCu2Ir after structural relaxation.

Unit cell a=4.733 b=4.588 c=4.733 alpha=90.00 beta=90.00 gamma=90.00
Site moments in Bohr magnetons follow the coordinates.
Element x y z (fractional)
Y  0.500  0.500  0.500  -0.10
Cu  0.500  0.000  0.000  0.02
Mn  0.000  0.500  0.000  3.52
Ir  0.000  0.000  0.000  0.09
Cu  0.000  0.000  0.500  0.01

- Symmetry: No. 123



DFT (PBE) results for ZrMnCuIr after structural relaxation.

Unit cell a=4.498 b=4.498 c=4.498 alpha=60.00 beta=60.00 gamma=60.00
Site moments in Bohr magnetons follow the coordinates.
Element x y z (fractional)
Cu  0.250  0.250  0.250  0.02
Mn  0.500  0.500  0.500  3.75
Zr  0.000  0.000  0.000  -0.06
Ir  0.750  0.750  0.750  0.34

- Symmetry: No. 216



DFT (PBE) results for CuMo2Ir after structural relaxation.

Unit cell a=3.998 b=2.726 c=6.000 alpha=62.71 beta=90.00 gamma=90.00
Element x y z (fractional)
Ir  0.500  0.750  0.750
Mo  0.000  0.505  0.497
Mo  0.000  0.995  0.003
Cu  0.500  0.250  0.250

- Energy above the lowest structure with this stoichiometry: 0 meV/atom
- Symmetry: No. 10



DFT (PBE) results for Cu3MoIr after structural relaxation.

Unit cell a=4.595 b=4.595 c=4.595 alpha=90.00 beta=90.00 gamma=90.00
Site moments in Bohr magnetons follow the coordinates.
Element x y z (fractional)
Mo  0.500  0.500  0.500  3.29
Ir  0.000  0.000  0.000  -0.05
Cu  0.500  0.000  0.000  0.05
Cu  0.000  0.000  0.500  -0.10
Cu  0.000  0.500  0.000  -0.01

- Energy above the lowest structure with this stoichiometry: 0 meV/atom
- Symmetry: No. 221



DFT (PBE) results for CuMo2Ir after structural relaxation.

Unit cell a=9.143 b=9.143 c=9.143 alpha=17.36 beta=17.36 gamma=17.36
Element x y z (fractional)
Mo  0.000  0.000  0.000
Ir  0.750  0.750  0.750
Cu  0.250  0.250  0.250
Mo  0.500  0.500  0.500

- Energy above the lowest structure with this stoichiometry: 175 meV/atom
- Symmetry: No. 166



DFT (PBE) results for CuMoIr2 after structural relaxation.

Unit cell a=4.350 b=4.350 c=4.350 alpha=60.00 beta=60.00 gamma=60.00
Element x y z (fractional)
Ir  0.000  0.000  0.000
Mo  0.750  0.750  0.750
Cu  0.500  0.500  0.500
Ir  0.250  0.250  0.250

- Energy above the lowest structure with this stoichiometry: 401 meV/atom
- Symmetry: No. 216



DFT (PBE) results for CuMoIr2 after structural relaxation.

Unit cell a=4.705 b=4.705 c=4.724 alpha=80.75 beta=80.75 gamma=33.74
Element x y z (fractional)
Mo  0.250  0.250  0.250
Ir  0.502  0.502  0.503
Ir  0.998  0.998  0.997
Cu  0.750  0.750  0.750

- Energy above the lowest structure with this stoichiometry: 92 meV/atom
- Symmetry: No. 12



DFT (PBE) results for CuMo2Ir after structural relaxation.

Unit cell a=2.755 b=2.755 c=7.779 alpha=90.00 beta=90.00 gamma=89.99
Element x y z (fractional)
Mo  0.000  0.000  0.980
Mo  0.500  0.500  0.266
Ir  0.500  0.500  0.747
Cu  0.000  0.000  0.507

- Energy above the lowest structure with this stoichiometry: 107 meV/atom
- Symmetry: No. 99



Computed values of calculated formation energy (unit: meV/atom) for the preceding records, in sequence: -332 -157 1045 -136 427 -267 -38 1509 136 273 -37 68.
Computed values of VASP energy (unit: eV per atom) for the preceding records, in sequence: -7.446 -8.652 -4.327 -7.947 -6.111 -7.935 -8.693 -4.887 -8.518 -7.890 -8.199 -8.587.